Entry 1:
# DyHoRu2

A relaxed DyHoRu2 crystal (PBEsol, Alexandria).

Structure (CIF):
```
data_DyHoRu2
_cell_length_a 4.714
_cell_length_b 4.714
_cell_length_c 4.714
_cell_angle_alpha 60.00
_cell_angle_beta 60.00
_cell_angle_gamma 60.00
_space_group_name_H-M_alt 'P 1'
_space_group_IT_number 1
loop_
_space_group_symop_operation_xyz
'x,y,z'
loop_
_atom_site_label
_atom_site_type_symbol
_atom_site_fract_x
_atom_site_fract_y
_atom_site_fract_z
_atom_site_occupancy
Ru1 Ru 0.750 0.750 0.750 1
Ho1 Ho 0.000 0.000 0.000 1
Ru2 Ru 0.250 0.250 0.250 1
Dy1 Dy 0.500 0.500 0.500 1
```

## Properties
Formation energy from the elements: -0.283 eV per atom
D(E_F): 4.1 states/eV/f.u.
Magnetization: 0.0 Bohr magnetons per cell



Entry 2:
# DyHoTl2

A relaxed DyHoTl2 crystal (PBEsol, Alexandria).

Structure (CIF):
```
data_DyHoTl2
_cell_length_a 5.253
_cell_length_b 5.253
_cell_length_c 5.253
_cell_angle_alpha 60.00
_cell_angle_beta 60.00
_cell_angle_gamma 60.00
_space_group_name_H-M_alt 'P 1'
_space_group_IT_number 1
loop_
_space_group_symop_operation_xyz
'x,y,z'
loop_
_atom_site_label
_atom_site_type_symbol
_atom_site_fract_x
_atom_site_fract_y
_atom_site_fract_z
_atom_site_occupancy
Dy1 Dy 0.500 0.500 0.500 1
Tl1 Tl 0.250 0.250 0.250 1
Ho1 Ho 0.000 0.000 0.000 1
Tl2 Tl 0.750 0.750 0.750 1
```

## Properties
Formation energy from the elements: -0.410 eV per atom
D(E_F): 3.4 states/eV/f.u.
Magnetization: 0.0 Bohr magnetons per cell



Entry 3:
# K5Dy3I12

A relaxed K5Dy3I12 crystal (PBEsol, Alexandria).

Structure (CIF):
```
data_K5Dy3I12
_cell_length_a 4.276
_cell_length_b 14.507
_cell_length_c 14.507
_cell_angle_alpha 120.00
_cell_angle_beta 90.00
_cell_angle_gamma 90.00
_space_group_name_H-M_alt 'P 1'
_space_group_IT_number 1
loop_
_space_group_symop_operation_xyz
'x,y,z'
loop_
_atom_site_label
_atom_site_type_symbol
_atom_site_fract_x
_atom_site_fract_y
_atom_site_fract_z
_atom_site_occupancy
I1 I 0.000 0.555 0.795 1
I2 I 0.000 0.760 0.205 1
I3 I 0.500 0.000 0.476 1
I4 I 0.500 0.524 0.524 1
Dy1 Dy 0.000 0.000 0.327 1
I5 I 0.000 0.445 0.240 1
K1 K 0.500 0.000 0.722 1
Dy2 Dy 0.000 0.673 0.673 1
I6 I 0.000 0.205 0.760 1
K2 K 0.500 0.722 0.000 1
K3 K 0.500 0.333 0.667 1
I7 I 0.500 0.825 0.825 1
K4 K 0.500 0.667 0.333 1
I8 I 0.500 0.476 0.000 1
I9 I 0.500 0.175 0.000 1
I10 I 0.500 0.000 0.175 1
Dy3 Dy 0.000 0.327 0.000 1
K5 K 0.500 0.278 0.278 1
I11 I 0.000 0.240 0.445 1
I12 I 0.000 0.795 0.555 1
```

## Properties
Uncorrected formation energy: -27.0 eV/f.u.
D(E_F): 5.4 states/eV/f.u.
Magnetization: 0.0 Bohr magnetons per cell